CsPm2Te6Pb3 | PBE-GGA | optimized geometry

The structure in POSCAR format:
```
CsPm2Te6Pb3
1.0
10.076 -2.275 0.000
10.076 2.275 0.000
-1.592 0.000 9.838
Cs Pm Te Pb
1 2 6 3
direct
0.000 0.000 0.000 Cs
0.328 0.328 0.662 Pm
0.672 0.672 0.338 Pm
0.166 0.166 0.569 Te
0.185 0.185 0.115 Te
0.482 0.482 0.715 Te
0.518 0.518 0.285 Te
0.815 0.815 0.885 Te
0.834 0.834 0.431 Te
0.000 0.000 0.500 Pb
0.339 0.339 0.172 Pb
0.661 0.661 0.828 Pb
```

## Properties
As for the uncorrected formation energy: -930 kJ/mol of formula units. Its energy is -4.16 eV/atom. For the density of states at the Fermi level, the calculation gives 5.7 states/eV/cell. The calculation puts the volume at 451.0 Å³ per cell.

***

La2CuH6Os | PBE-GGA | optimized geometry

The structure in POSCAR format:
```
La2CuH6Os
1.0
3.810 -3.854 0.000
3.810 3.854 0.000
-3.777 0.000 3.827
La Cu H Os
2 1 6 1
direct
0.249 0.751 0.000 La
0.751 0.249 0.000 La
0.000 0.000 0.500 Cu
0.268 0.268 0.500 H
0.269 0.269 0.039 H
0.271 0.729 0.500 H
0.729 0.271 0.500 H
0.731 0.731 0.961 H
0.732 0.732 0.500 H
0.500 0.500 0.500 Os
```

## Properties
Its energy is -4.90 eV/atom. For the density of states at the Fermi level, the calculation gives 3.4 states/eV/cell. The calculation puts the volume at 112.4 Å³ per cell.

***

LaGe3Rh5 | PBE-GGA | optimized geometry

The structure in POSCAR format:
```
LaGe3Rh5
1.0
2.025 -6.374 0.000
2.025 6.374 0.000
0.000 0.000 12.329
La Ge Rh
2 6 10
direct
0.173 0.827 0.750 La
0.827 0.173 0.250 La
0.104 0.896 0.250 Ge
0.382 0.618 0.046 Ge
0.382 0.618 0.454 Ge
0.618 0.382 0.546 Ge
0.618 0.382 0.954 Ge
0.896 0.104 0.750 Ge
0.000 0.000 0.000 Rh
0.000 0.000 0.500 Rh
0.199 0.801 0.071 Rh
0.199 0.801 0.429 Rh
0.447 0.553 0.642 Rh
0.447 0.553 0.858 Rh
0.553 0.447 0.142 Rh
0.553 0.447 0.358 Rh
0.801 0.199 0.571 Rh
0.801 0.199 0.929 Rh
```

## Properties
The value obtained for the calculated formation energy is -0.629 eV per atom. Its energy is -6.80 eV/atom. For the density of states at the Fermi level, the calculation gives 13.5 states/eV/cell. The calculation puts the volume at 318.2 Å³ per cell.

***

YMnBe2 | PBE-GGA | optimized geometry

The structure in POSCAR format:
```
YMnBe2
1.0
-1.983 1.983 3.875
1.983 -1.983 3.875
1.983 1.983 -3.875
Y Mn Be
1 1 2
direct
0.000 0.000 0.000 Y
0.750 0.250 0.500 Mn
0.250 0.750 0.500 Be
0.500 0.500 0.000 Be
```

## Properties
For the excess energy over the best structure of this formula in the dataset, the calculation gives 162 kJ/mol of formula units. The value obtained for the calculated formation energy is 0.446 eV per atom. Its energy is -5.33 eV/atom. For the density of states at the Fermi level, the calculation gives 3.5 states/eV/cell. The calculation puts the volume at 61.0 Å³ per cell.

***

Tb6Nd3Y2Sc | PBE-GGA | optimized geometry

The structure in POSCAR format:
```
Tb6Nd3Y2Sc
1.0
3.094 -5.358 0.000
3.094 5.358 0.000
-2.058 0.000 11.638
Tb Nd Y Sc
6 3 2 1
direct
0.081 0.411 0.244 Tb
0.249 0.249 0.756 Tb
0.411 0.081 0.244 Tb
0.589 0.919 0.756 Tb
0.751 0.751 0.244 Tb
0.919 0.589 0.756 Tb
0.167 0.833 0.500 Nd
0.500 0.500 0.500 Nd
0.833 0.167 0.500 Nd
0.334 0.666 0.000 Y
0.666 0.334 0.000 Y
0.000 0.000 0.000 Sc
```

## Properties
The value obtained for the calculated formation energy is 0.029 eV per atom. Its energy is -5.08 eV/atom. For the density of states at the Fermi level, the calculation gives 17.1 states/eV/cell. The calculation puts the volume at 385.9 Å³ per cell.

***

SrTbPd4 | PBE-GGA | optimized geometry

The structure in POSCAR format:
```
SrTbPd4
1.0
0.000 3.907 3.907
3.907 0.000 3.907
3.907 3.907 0.000
Sr Tb Pd
1 1 4
direct
0.000 0.000 0.000 Sr
0.750 0.750 0.750 Tb
0.375 0.375 0.375 Pd
0.375 0.375 0.874 Pd
0.375 0.874 0.375 Pd
0.874 0.375 0.375 Pd
```

## Properties
The value obtained for the calculated formation energy is -0.678 eV per atom. Its energy is -5.19 eV/atom. For the density of states at the Fermi level, the calculation gives 6.5 states/eV/cell. The calculation puts the volume at 119.3 Å³ per cell.

***

Mg2BrF | PBE-GGA | optimized geometry

The structure in POSCAR format:
```
Mg2BrF
1.0
-2.856 2.856 5.804
2.856 -2.856 5.804
2.856 2.856 -5.804
Mg Br F
4 2 2
direct
0.017 0.625 0.892 Mg
0.375 0.267 0.392 Mg
0.733 0.125 0.108 Mg
0.875 0.983 0.608 Mg
0.250 0.750 0.500 Br
0.500 0.500 0.000 Br
0.000 0.000 0.000 F
0.750 0.250 0.500 F
```

## Properties
For the excess energy over the best structure of this formula in the dataset, the calculation gives 0 kJ/mol of formula units. As for the uncorrected formation energy: -501 kJ/mol of formula units. Its energy is -2.98 eV/atom. For the density of states at the Fermi level, the calculation gives 2.1 states/eV/cell. The calculation puts the volume at 189.4 Å³ per cell.

***

Cr2BiH2 | PBE-GGA | optimized geometry

The structure in POSCAR format:
```
Cr2BiH2
1.0
-1.575 1.575 5.710
1.575 -1.575 5.710
1.575 1.575 -5.710
Cr Bi H
2 1 2
direct
0.183 0.183 0.000 Cr
0.817 0.817 0.000 Cr
0.500 0.500 0.000 Bi
0.250 0.750 0.500 H
0.750 0.250 0.500 H
```

## Properties
Its energy is -5.61 eV/atom. For the density of states at the Fermi level, the calculation gives 5.2 states/eV/cell. The calculation puts the volume at 56.6 Å³ per cell.